Material: KAgP2S
Method: DFT, PBE-GGA
State: optimized geometry

Properties
Its size of the total moment is 1.448 μB/f.u. The symmetry is P4/mmm, No. 123. The calculation puts the energy relative to the elements, uncorrected at 1.75 eV/atom. The value obtained for the electronic total energy is -2.03 eV/atom. The calculation puts the calculated volume at 159 Å³ per cell.

Lattice parameters (Å, degrees): 5.4153 5.4153 5.4095 90.00 90.00 90.00
With the nearest neighbours (Å) after each atom.
Fractional coordinates of all 5 atoms:
P 0.0000 0.5000 0.0000  2 K 2.71
P 0.5000 0.0000 0.0000  2 K 2.71
K 0.0000 0.0000 0.0000  2 S 2.70, 4 P 2.71
S 0.0000 0.0000 0.5000  2 K 2.70
Ag 0.5000 0.5000 0.5000  8 P 3.83, 4 S 3.83

---

Material: KAgPS2
Method: DFT, PBE-GGA
State: optimized geometry

Properties
Its size of the total moment is 0.452 μB/f.u. The symmetry is P4/mmm, No. 123. The calculation puts the energy relative to the elements, uncorrected at 0.33 eV/atom. The value obtained for the electronic total energy is -3.19 eV/atom. The calculation puts the calculated volume at 124 Å³ per cell.

Lattice parameters (Å, degrees): 5.1111 5.1111 4.7394 90.00 90.00 90.00
With the nearest neighbours (Å) after each atom.
Fractional coordinates of all 5 atoms:
P 0.0000 0.0000 0.5000  2 Ag 2.37
K 0.5000 0.5000 0.5000  8 S 3.49, 4 P 3.61
S 0.0000 0.5000 0.0000  2 Ag 2.56
S 0.5000 0.0000 0.0000  2 Ag 2.56
Ag 0.0000 0.0000 0.0000  2 P 2.37, 4 S 2.56

---

Material: KAgP2S
Method: DFT, PBE-GGA
State: optimized geometry

Properties
Its size of the total moment is 1.222 μB/f.u. The symmetry is P4/mmm, No. 123. The calculation puts the energy relative to the elements, uncorrected at 0.54 eV/atom. The value obtained for the electronic total energy is -3.24 eV/atom. The calculation puts the calculated volume at 125 Å³ per cell.

Lattice parameters (Å, degrees): 4.8841 4.8841 5.2366 90.00 90.00 90.00
With the nearest neighbours (Å) after each atom.
Fractional coordinates of all 5 atoms:
P 0.0000 0.5000 0.0000  2 Ag 2.44
P 0.5000 0.0000 0.0000  2 Ag 2.44
K 0.5000 0.5000 0.5000  4 S 3.45, 8 P 3.58
S 0.0000 0.0000 0.5000  2 Ag 2.62
Ag 0.0000 0.0000 0.0000  4 P 2.44, 2 S 2.62

---

Material: KAgPS2
Method: DFT, PBE-GGA
State: optimized geometry

Properties
Its size of the total moment is 5.045 μB/f.u. The symmetry is P4/mmm, No. 123. The calculation puts the energy relative to the elements, uncorrected at 1.43 eV/atom. The value obtained for the electronic total energy is -2.09 eV/atom. The calculation puts the calculated volume at 194 Å³ per cell.

Lattice parameters (Å, degrees): 5.6962 5.6962 5.9667 90.00 90.00 90.00
With the nearest neighbours (Å) after each atom.
Fractional coordinates of all 5 atoms:
P 0.0000 0.0000 0.5000  2 K 2.98
K 0.0000 0.0000 0.0000  4 S 2.85, 2 P 2.98
S 0.0000 0.5000 0.0000  2 K 2.85
S 0.5000 0.0000 0.0000  2 K 2.85
Ag 0.5000 0.5000 0.5000  4 P 4.03, 8 S 4.12

---

Material: K2ScAgP
Method: DFT, PBE-GGA
State: optimized geometry

Properties
Its size of the total moment is 1.419 μB/f.u. The symmetry is P4/mmm, No. 123. The calculation puts the formation enthalpy at 0 K at 25.3 kcal/mol of atoms. The value obtained for the electronic total energy is -2.26 eV/atom. The calculation puts the calculated volume at 215 Å³ per cell.

Lattice parameters (Å, degrees): 6.5080 5.0738 6.5080 90.00 90.00 90.00
With the nearest neighbours (Å) after each atom.
Fractional coordinates of all 5 atoms:
Sc 0.0000 0.0000 0.0000  2 Ag 2.54
P 0.5000 0.5000 0.5000  8 K 4.13, 4 Ag 4.60
K 0.0000 0.0000 0.5000  2 Sc 3.25
K 0.5000 0.0000 0.0000  2 Sc 3.25
Ag 0.0000 0.5000 0.0000  2 Sc 2.54

---

Material: KAgPSe3
Method: DFT, PBE-GGA
State: optimized geometry

Properties
Its size of the total moment is 0.000 μB/f.u. The symmetry is P2_1/c, No. 14. The calculation puts the energy relative to the elements, uncorrected at -0.49 eV/atom. The value obtained for the electronic total energy is -3.80 eV/atom. The calculation puts the calculated volume at 2101 Å³ per cell.

Lattice parameters (Å, degrees): 8.6634 11.3773 21.3514 90.00 93.42 90.00
With the nearest neighbours (Å) after each atom.
Fractional coordinates of all 72 atoms:
K 0.1909 0.8385 0.7075  8 Se 3.41-3.71
K 0.8091 0.3385 0.7925  8 Se 3.41-3.71
K 0.8091 0.1615 0.2925  8 Se 3.41-3.71
K 0.1909 0.6615 0.2075  8 Se 3.41-3.71
K 0.5375 0.7094 0.0081  7 Se 3.40-3.79
K 0.4625 0.2094 0.4919  7 Se 3.40-3.79
K 0.4625 0.2906 0.9919  7 Se 3.40-3.79
K 0.5375 0.7906 0.5081  7 Se 3.40-3.79
K 0.8629 0.5166 0.6025  6 Se 3.38-3.73
K 0.1371 0.0166 0.8975  6 Se 3.38-3.73
K 0.1371 0.4834 0.3975  6 Se 3.38-3.73
K 0.8629 0.9834 0.1025  6 Se 3.38-3.73
Ag 0.5404 0.6522 0.7764  4 Se 2.64-2.78
Ag 0.4596 0.1522 0.7236  4 Se 2.64-2.78
Ag 0.4596 0.3478 0.2236  4 Se 2.64-2.78
Ag 0.5404 0.8478 0.2764  4 Se 2.64-2.78
Ag 0.1788 0.5264 0.8645  4 Se 2.62-2.82
Ag 0.8212 0.0264 0.6355  4 Se 2.62-2.82
Ag 0.8212 0.4736 0.1355  4 Se 2.62-2.82
Ag 0.1788 0.9736 0.3645  4 Se 2.62-2.82
Ag 0.8746 0.7193 0.8977  4 Se 2.68-2.73
Ag 0.1254 0.2193 0.6023  4 Se 2.68-2.73
Ag 0.1254 0.2807 0.1023  4 Se 2.68-2.73
Ag 0.8746 0.7807 0.3977  4 Se 2.68-2.73
P 0.5964 0.9549 0.8592  3 Se 2.20-2.22, 1 P 2.33
P 0.4036 0.4549 0.6408  3 Se 2.20-2.22, 1 P 2.33
P 0.4036 0.0451 0.1408  3 Se 2.20-2.22, 1 P 2.33
P 0.5964 0.5451 0.3592  3 Se 2.20-2.22, 1 P 2.33
P 0.7294 0.9233 0.7692  3 Se 2.21-2.24, 1 P 2.33
P 0.2706 0.4233 0.7308  3 Se 2.21-2.24, 1 P 2.33
P 0.2706 0.0767 0.2308  3 Se 2.21-2.24, 1 P 2.33
P 0.7294 0.5767 0.2692  3 Se 2.21-2.24, 1 P 2.33
P 0.0742 0.5754 0.0246  3 Se 2.21-2.24, 1 P 2.35
P 0.9258 0.0754 0.4754  3 Se 2.21-2.24, 1 P 2.35
P 0.9258 0.4246 0.9754  3 Se 2.21-2.24, 1 P 2.35
P 0.0742 0.9246 0.5246  3 Se 2.21-2.24, 1 P 2.35
Se 0.7640 0.9232 0.9401  1 P 2.22
Se 0.2360 0.4232 0.5599  1 P 2.22
Se 0.2360 0.0768 0.0599  1 P 2.22
Se 0.7640 0.5768 0.4401  1 P 2.22
Se 0.8254 0.7426 0.7732  1 P 2.22
Se 0.1746 0.2426 0.7268  1 P 2.22
Se 0.1746 0.2574 0.2268  1 P 2.22
Se 0.8254 0.7574 0.2732  1 P 2.22
Se 0.4454 0.4432 0.8118  1 P 2.24
Se 0.5546 0.9432 0.6882  1 P 2.24
Se 0.5546 0.5568 0.1882  1 P 2.24
Se 0.4454 0.0568 0.3118  1 P 2.24
Se 0.5144 0.1382 0.8529  1 P 2.20
Se 0.4856 0.6382 0.6471  1 P 2.20
Se 0.4856 0.8618 0.1471  1 P 2.20
Se 0.5144 0.3618 0.3529  1 P 2.20
Se 0.1623 0.6912 0.9496  1 P 2.24
Se 0.8377 0.1912 0.5504  1 P 2.24
Se 0.8377 0.3088 0.0504  1 P 2.24
Se 0.1623 0.8088 0.4496  1 P 2.24
Se 0.2689 0.4880 0.0776  1 P 2.21
Se 0.7311 0.9880 0.4224  1 P 2.21
Se 0.7311 0.5120 0.9224  1 P 2.21
Se 0.2689 0.0120 0.5776  1 P 2.21
Se 0.4112 0.8193 0.8523  1 P 2.22
Se 0.5888 0.3193 0.6477  1 P 2.22
Se 0.5888 0.1807 0.1477  1 P 2.22
Se 0.4112 0.6807 0.3523  1 P 2.22
Se 0.9211 0.6732 0.0850  1 P 2.21
Se 0.0789 0.1732 0.4150  1 P 2.21
Se 0.0789 0.3268 0.9150  1 P 2.21
Se 0.9211 0.8268 0.5850  1 P 2.21
Se 0.9144 0.0561 0.7636  1 P 2.21
Se 0.0856 0.5561 0.7364  1 P 2.21
Se 0.0856 0.9439 0.2364  1 P 2.21
Se 0.9144 0.4439 0.2636  1 P 2.21